Entry 1:
Computed, not measured: a relaxed structure of Na4LiPb5 at the PBE level of DFT.

a = 3.7106 Å, b = 3.7106 Å, c = 19.7495 Å
α = 90.00°, β = 90.00°, γ = 90.00°
Last column: nearest neighbours and their distance in Å.
Space group P4/mmm (No. 123)
Inequivalent atoms, fractional coordinates:
Na (0.0000, 0.0000, 0.1025) x2  8 Pb 3.31, 4 Na 3.71
Na (0.0000, 0.0000, 0.3113) x2  8 Pb 3.35-3.36, 4 Na 3.71, 1 Li 3.73
Li (0.0000, 0.0000, 0.5000) x1  8 Pb 3.10
Pb (0.5000, 0.5000, 0.0000) x1  8 Na 3.31, 4 Pb 3.71
Pb (0.5000, 0.5000, 0.2050) x2  8 Na 3.31-3.36, 4 Pb 3.71
Pb (0.5000, 0.5000, 0.4166) x2  4 Li 3.10, 1 Pb 3.30, 4 Na 3.35

Output
- spin magnetization (μB per atom) = 0.000
- ρ (g/cm3) = 6.93
- energy of formation from the pure elements (kcal/mol of atoms) = -3.6



Entry 2:
Computed, not measured: a relaxed structure of Rb2ZnSnS at the PBE level of DFT.

a = 7.0817 Å, b = 7.0817 Å, c = 5.2127 Å
α = 90.00°, β = 90.00°, γ = 90.00°
Last column: nearest neighbours and their distance in Å.
Space group P4/mmm (No. 123)
Inequivalent atoms, fractional coordinates:
Rb (0.0000, 0.5000, 0.0000) x2  2 Sn 3.54
Zn (0.0000, 0.0000, 0.5000) x1  8 Rb 4.40
Sn (0.5000, 0.5000, 0.0000) x1  2 S 2.61
S (0.5000, 0.5000, 0.5000) x1  2 Sn 2.61

Output
- spin magnetization (μB per atom) = 0.000
- ρ (g/cm3) = 2.46
- formation energy from raw total energies (meV per atom) = 87.0



Entry 3:
Computed, not measured: a relaxed structure of PuMg2O6 at the PBE level of DFT.

a = 10.4691 Å, b = 3.7437 Å, c = 6.3915 Å
α = 90.00°, β = 120.70°, γ = 90.00°
Last column: nearest neighbours and their distance in Å.
Space group C2/m (No. 12)
Inequivalent atoms, fractional coordinates:
Pu (0.0000, 0.0000, 0.0000) x2  2 O 1.93
Mg (0.1864, 0.0000, 0.6189) x4  6 O 2.01-2.17
O (0.0253, 0.0000, 0.7220) x4  1 Pu 1.93, 1 Mg 2.10
O (0.1207, 0.5000, 0.0438) x4  1 Mg 2.07, 2 Pu 2.20, 1 O 2.29
O (0.2342, 0.0000, 0.3322) x4  3 Mg 2.01-2.13

Output
- spin magnetization (μB per atom) = 0.001
- ρ (g/cm3) = 5.99
- formation energy from raw total energies (meV per atom) = -2096.9



Entry 4:
Computed, not measured: a relaxed structure of TcAsOsBr2 at the PBE level of DFT.

a = 5.0967 Å, b = 5.0967 Å, c = 4.8114 Å
α = 90.00°, β = 90.00°, γ = 90.00°
Last column: nearest neighbours and their distance in Å.
Space group P4/mmm (No. 123)
Inequivalent atoms, fractional coordinates:
Tc (0.0000, 0.0000, 0.0000) x1  2 As 2.41, 4 Br 2.55
As (0.0000, 0.0000, 0.5000) x1  2 Tc 2.41
Os (0.5000, 0.5000, 0.5000) x1  8 Br 3.50, 4 As 3.60
Br (0.0000, 0.5000, 0.0000) x2  2 Tc 2.55

Output
- spin magnetization (μB per atom) = 1.027
- ρ (g/cm3) = 6.95
- formation energy from raw total energies (meV per atom) = 1536.0
- E above lowest polymorph (meV per atom) = 271



Entry 5:
Computed, not measured: a relaxed structure of KTl2GaNi at the PBE level of DFT.

a = 5.2476 Å, b = 5.2476 Å, c = 4.7987 Å
α = 90.00°, β = 90.00°, γ = 90.00°
Last column: nearest neighbours and their distance in Å.
Space group P4/mmm (No. 123)
Inequivalent atoms, fractional coordinates:
K (0.0000, 0.0000, 0.0000) x1  8 Tl 3.56, 4 Ga 3.71
Tl (0.0000, 0.5000, 0.5000) x2  2 Ni 2.62
Ga (0.5000, 0.5000, 0.0000) x1  2 Ni 2.40
Ni (0.5000, 0.5000, 0.5000) x1  2 Ga 2.40, 4 Tl 2.62

Output
- spin magnetization (μB per atom) = 0.000
- ρ (g/cm3) = 7.24
- energy of formation from the pure elements (kcal/mol of atoms) = -0.2



Entry 6:
Computed, not measured: a relaxed structure of PdRhPb4 at the PBE level of DFT.

a = 9.5418 Å, b = 9.5564 Å, c = 13.4164 Å
α = 90.00°, β = 90.00°, γ = 90.00°
Last column: nearest neighbours and their distance in Å.
Space group Fddd (No. 70, origin choice 2)
Inequivalent atoms, fractional coordinates:
Pd (0.1250, 0.1250, 0.1250) x8  8 Pb 2.93
Rh (0.1250, 0.1250, 0.6250) x8  8 Pb 2.90
Pb (0.1231, 0.3731, 0.7498) x32  2 Rh 2.90, 2 Pd 2.93

Output
- spin magnetization (μB per atom) = 0.000
- ρ (g/cm3) = 11.27
- energy of formation from the pure elements (kcal/mol of atoms) = -2.5
- E above lowest polymorph (meV per atom) = 24